No. 1
# NaSiHgAu2 PBE-GGA relaxed
# Raw formation energy   -0.057 eV/atom
data_NaSiHgAu2
_chemical_formula_sum 'Na1 Si1 Hg1 Au2'
_cell_length_a 4.853
_cell_length_b 4.853
_cell_length_c 5.180
_cell_angle_alpha 90.00
_cell_angle_beta 90.00
_cell_angle_gamma 90.00
_symmetry_space_group_name_H-M 'P 4/m m m'
_symmetry_Int_Tables_number 123
_symmetry_space_group_name_Hall '-P 4 2'
loop_
_atom_site_label
_atom_site_type_symbol
_atom_site_fract_x
_atom_site_fract_y
_atom_site_fract_z
Na1 Na 0.000 0.000 0.000
Si1 Si 0.500 0.500 0.500
Hg1 Hg 0.500 0.500 0.000
Au1 Au 0.000 0.500 0.500



No. 2
# Na2SnHgAu PBE-GGA relaxed
# Formation energy   -0.0798 eV per atom
data_Na2SnHgAu
_chemical_formula_sum 'Na2 Sn1 Hg1 Au1'
_cell_length_a 5.721
_cell_length_b 5.721
_cell_length_c 5.066
_cell_angle_alpha 90.00
_cell_angle_beta 90.00
_cell_angle_gamma 90.00
_symmetry_space_group_name_H-M 'P 4/m m m'
_symmetry_Int_Tables_number 123
_symmetry_space_group_name_Hall '-P 4 2'
loop_
_atom_site_label
_atom_site_type_symbol
_atom_site_fract_x
_atom_site_fract_y
_atom_site_fract_z
Na1 Na 0.000 0.500 0.000
Sn1 Sn 0.000 0.000 0.500
Hg1 Hg 0.500 0.500 0.500
Au1 Au 0.000 0.000 0.000



No. 3
# Na2Sn4HgAu3 PBE-GGA relaxed
# Formation energy   -0.1852 eV per atom
data_Na2Sn4HgAu3
_chemical_formula_sum 'Na2 Sn4 Hg1 Au3'
_cell_length_a 4.720
_cell_length_b 4.720
_cell_length_c 11.878
_cell_angle_alpha 90.00
_cell_angle_beta 90.00
_cell_angle_gamma 90.00
_symmetry_space_group_name_H-M 'P -4 m 2'
_symmetry_Int_Tables_number 115
loop_
_symmetry_equiv_pos_as_xyz
'x,y,z'
'y,-x,-z'
'-x,-y,z'
'-y,x,-z'
'-x,y,z'
'-y,-x,-z'
'x,-y,z'
'y,x,-z'
loop_
_atom_site_label
_atom_site_type_symbol
_atom_site_fract_x
_atom_site_fract_y
_atom_site_fract_z
Na1 Na 0.000 0.500 0.240
Sn1 Sn 0.000 0.000 0.500
Sn2 Sn 0.000 0.500 0.861
Sn3 Sn 0.500 0.500 0.500
Hg1 Hg 0.500 0.500 0.000
Au1 Au 0.000 0.000 0.000
Au2 Au 0.000 0.500 0.634



No. 4
# NaSn2HgAu PBE-GGA relaxed
# Formation energy   0.1400 eV per atom
# Relative energy among the computed polymorphs   0.715 eV/f.u.
data_NaSn2HgAu
_chemical_formula_sum 'Na1 Sn2 Hg1 Au1'
_cell_length_a 5.480
_cell_length_b 5.480
_cell_length_c 5.349
_cell_angle_alpha 90.00
_cell_angle_beta 90.00
_cell_angle_gamma 90.00
_symmetry_space_group_name_H-M 'P 4/m m m'
_symmetry_Int_Tables_number 123
_symmetry_space_group_name_Hall '-P 4 2'
loop_
_atom_site_label
_atom_site_type_symbol
_atom_site_fract_x
_atom_site_fract_y
_atom_site_fract_z
Na1 Na 0.000 0.000 0.000
Sn1 Sn 0.000 0.500 0.500
Hg1 Hg 0.500 0.500 0.000
Au1 Au 0.500 0.500 0.500



No. 5
# NaSn2HgAu PBE-GGA relaxed
# Formation energy   -0.0030 eV per atom
# Relative energy among the computed polymorphs   0.000 eV/f.u.
data_NaSn2HgAu
_chemical_formula_sum 'Na1 Sn2 Hg1 Au1'
_cell_length_a 5.280
_cell_length_b 5.280
_cell_length_c 5.961
_cell_angle_alpha 90.00
_cell_angle_beta 90.00
_cell_angle_gamma 90.00
_symmetry_space_group_name_H-M 'P 4 m m'
_symmetry_Int_Tables_number 99
loop_
_symmetry_equiv_pos_as_xyz
'x,y,z'
'-y,x,z'
'-x,-y,z'
'y,-x,z'
'-x,y,z'
'y,x,z'
'x,-y,z'
'-y,-x,z'
loop_
_atom_site_label
_atom_site_type_symbol
_atom_site_fract_x
_atom_site_fract_y
_atom_site_fract_z
Na1 Na 0.000 0.000 0.000
Sn1 Sn 0.000 0.500 0.391
Hg1 Hg 0.500 0.500 0.139
Au1 Au 0.000 0.000 0.522



No. 6
# NaSrHg2Au2 PBE-GGA relaxed
# Formation energy   -0.4571 eV per atom
data_NaSrHg2Au2
_chemical_formula_sum 'Na1 Sr1 Hg2 Au2'
_cell_length_a 4.9466
_cell_length_b 4.9466
_cell_length_c 7.0925
_cell_angle_alpha 90.00
_cell_angle_beta 90.00
_cell_angle_gamma 120.00
_symmetry_space_group_name_H-M 'P -3 m 1'
_symmetry_Int_Tables_number 164
_symmetry_space_group_name_Hall '-P 3 2"'
loop_
_atom_site_label
_atom_site_type_symbol
_atom_site_fract_x
_atom_site_fract_y
_atom_site_fract_z
Na1 Na 0.0000 0.0000 0.0000
Sr1 Sr 0.0000 0.0000 0.5000
Hg1 Hg 0.3333 0.6667 0.7935
Au1 Au 0.3333 0.6667 0.2417



No. 7
# Na2SrHgAu PBE-GGA relaxed
# Formation energy   -0.2084 eV per atom
data_Na2SrHgAu
_chemical_formula_sum 'Na2 Sr1 Hg1 Au1'
_cell_length_a 5.493
_cell_length_b 5.493
_cell_length_c 6.043
_cell_angle_alpha 90.00
_cell_angle_beta 90.00
_cell_angle_gamma 90.00
_symmetry_space_group_name_H-M 'P 4/m m m'
_symmetry_Int_Tables_number 123
_symmetry_space_group_name_Hall '-P 4 2'
loop_
_atom_site_label
_atom_site_type_symbol
_atom_site_fract_x
_atom_site_fract_y
_atom_site_fract_z
Na1 Na 0.000 0.500 0.000
Sr1 Sr 0.000 0.000 0.500
Hg1 Hg 0.500 0.500 0.500
Au1 Au 0.000 0.000 0.000



No. 8
# Na3Tl3HgAu2 PBE-GGA relaxed
# Formation energy   -0.1592 eV per atom
data_Na3Tl3HgAu2
_chemical_formula_sum 'Na3 Tl3 Hg1 Au2'
_cell_length_a 8.5089
_cell_length_b 8.5089
_cell_length_c 3.5790
_cell_angle_alpha 90.00
_cell_angle_beta 90.00
_cell_angle_gamma 120.00
_symmetry_space_group_name_H-M 'P -6 2 m'
_symmetry_Int_Tables_number 189
_symmetry_space_group_name_Hall 'P -6 -2'
loop_
_atom_site_label
_atom_site_type_symbol
_atom_site_fract_x
_atom_site_fract_y
_atom_site_fract_z
Na1 Na 0.0000 0.7033 0.0000
Tl1 Tl 0.0000 0.3789 0.5000
Hg1 Hg 0.0000 0.0000 0.5000
Au1 Au 0.3333 0.6667 0.0000



No. 9
# Na2TlHgAu PBE-GGA relaxed
# Formation energy   -0.0417 eV per atom
# Relative energy among the computed polymorphs   0.627 eV/f.u.
data_Na2TlHgAu
_chemical_formula_sum 'Na2 Tl1 Hg1 Au1'
_cell_length_a 5.537
_cell_length_b 5.537
_cell_length_c 5.664
_cell_angle_alpha 90.00
_cell_angle_beta 90.00
_cell_angle_gamma 90.00
_symmetry_space_group_name_H-M 'P 4/m m m'
_symmetry_Int_Tables_number 123
_symmetry_space_group_name_Hall '-P 4 2'
loop_
_atom_site_label
_atom_site_type_symbol
_atom_site_fract_x
_atom_site_fract_y
_atom_site_fract_z
Na1 Na 0.000 0.500 0.000
Tl1 Tl 0.000 0.000 0.500
Hg1 Hg 0.500 0.500 0.500
Au1 Au 0.000 0.000 0.000



No. 10
# Na2TlHgAu PBE-GGA relaxed
# Formation energy   -0.1672 eV per atom
# Relative energy among the computed polymorphs   0.000 eV/f.u.
data_Na2TlHgAu
_chemical_formula_sum 'Na4 Tl2 Hg2 Au2'
_cell_length_a 3.579
_cell_length_b 5.076
_cell_length_c 14.530
_cell_angle_alpha 90.00
_cell_angle_beta 90.00
_cell_angle_gamma 90.00
_symmetry_space_group_name_H-M 'I m m 2'
_symmetry_Int_Tables_number 44
loop_
_symmetry_equiv_pos_as_xyz
'x,y,z'
'-x,-y,z'
'-x,y,z'
'x,-y,z'
'x+1/2,y+1/2,z+1/2'
'-x+1/2,-y+1/2,z+1/2'
'-x+1/2,y+1/2,z+1/2'
'x+1/2,-y+1/2,z+1/2'
loop_
_atom_site_label
_atom_site_type_symbol
_atom_site_fract_x
_atom_site_fract_y
_atom_site_fract_z
Na1 Na 0.000 0.000 0.000
Na2 Na 0.000 0.000 0.340
Tl1 Tl 0.000 0.000 0.571
Hg1 Hg 0.000 0.000 0.785
Au1 Au 0.000 0.500 0.672



No. 11
# Na3Tl3Hg2Au PBE-GGA relaxed
# Formation energy   -0.1966 eV per atom
data_Na3Tl3Hg2Au
_chemical_formula_sum 'Na3 Tl3 Hg2 Au1'
_cell_length_a 8.6295
_cell_length_b 8.6295
_cell_length_c 3.6402
_cell_angle_alpha 90.00
_cell_angle_beta 90.00
_cell_angle_gamma 120.00
_symmetry_space_group_name_H-M 'P -6 2 m'
_symmetry_Int_Tables_number 189
_symmetry_space_group_name_Hall 'P -6 -2'
loop_
_atom_site_label
_atom_site_type_symbol
_atom_site_fract_x
_atom_site_fract_y
_atom_site_fract_z
Na1 Na 0.0000 0.3769 0.0000
Tl1 Tl 0.0000 0.7217 0.5000
Hg1 Hg 0.3333 0.6667 0.5000
Au1 Au 0.0000 0.0000 0.0000



No. 12
# NaTl2Hg6Au PBE-GGA relaxed
# Formation energy   -0.0546 eV per atom
data_NaTl2Hg6Au
_chemical_formula_sum 'Na1 Tl2 Hg6 Au1'
_cell_length_a 6.345
_cell_length_b 6.663
_cell_length_c 6.983
_cell_angle_alpha 90.56
_cell_angle_beta 102.36
_cell_angle_gamma 105.06
_symmetry_space_group_name_H-M 'P -1'
_symmetry_Int_Tables_number 2
loop_
_symmetry_equiv_pos_as_xyz
'x,y,z'
'-x,-y,-z'
loop_
_atom_site_label
_atom_site_type_symbol
_atom_site_fract_x
_atom_site_fract_y
_atom_site_fract_z
Na1 Na 0.000 0.000 0.000
Tl1 Tl 0.472 0.874 0.718
Hg1 Hg 0.044 0.221 0.435
Hg2 Hg 0.115 0.616 0.201
Hg3 Hg 0.389 0.310 0.857
Au1 Au 0.500 0.500 0.500